(1)
# NpPaOsRu PBE optimized geometry
data_NpPaOsRu
_cell_length_a 6.8167
_cell_length_b 6.8167
_cell_length_c 6.8167
_cell_angle_alpha 90.00
_cell_angle_beta 90.00
_cell_angle_gamma 90.00
_space_group_name_H-M_alt 'P 1'
_space_group_IT_number 1
loop_
_space_group_symop_operation_xyz
'x,y,z'
loop_
_atom_site_label
_atom_site_fract_x
_atom_site_fract_y
_atom_site_fract_z
Np1 0.0000 0.0000 0.0000
Np2 0.0000 0.5000 0.5000
Np3 0.5000 0.0000 0.5000
Np4 0.5000 0.5000 0.0000
Pa1 0.0000 0.0000 0.5000
Pa2 0.0000 0.5000 0.0000
Pa3 0.5000 0.0000 0.0000
Pa4 0.5000 0.5000 0.5000
Os1 0.2500 0.2500 0.2500
Os2 0.2500 0.7500 0.7500
Os3 0.7500 0.2500 0.7500
Os4 0.7500 0.7500 0.2500
Ru1 0.2500 0.2500 0.7500
Ru2 0.2500 0.7500 0.2500
Ru3 0.7500 0.2500 0.2500
Ru4 0.7500 0.7500 0.7500
# Symmetry = No. 216
# Volume = 19.80 Å³/atom
# Spin magnetization = 14.1 μB per cell
# E_tot = -10.8356 eV/atom


(2)
# Np2OsPb PBE optimized geometry
data_Np2OsPb
_cell_length_a 3.7728
_cell_length_b 3.7728
_cell_length_c 6.3392
_cell_angle_alpha 90.00
_cell_angle_beta 90.00
_cell_angle_gamma 90.00
_space_group_name_H-M_alt 'P 1'
_space_group_IT_number 1
loop_
_space_group_symop_operation_xyz
'x,y,z'
loop_
_atom_site_label
_atom_site_fract_x
_atom_site_fract_y
_atom_site_fract_z
Np1 0.0000 0.0000 0.2072
Np2 0.0000 0.0000 0.7928
Os1 0.5000 0.5000 0.0000
Pb1 0.5000 0.5000 0.5000
# Symmetry = No. 123
# Volume = 22.56 Å³/atom
# Spin magnetization = 7.2 μB per cell
# E_tot = -9.9016 eV/atom


(3)
# NpOsPd PBE optimized geometry
data_NpOsPd
_cell_length_a 11.1461
_cell_length_b 4.1508
_cell_length_c 4.6170
_cell_angle_alpha 90.00
_cell_angle_beta 91.35
_cell_angle_gamma 90.00
_space_group_name_H-M_alt 'P 1'
_space_group_IT_number 1
loop_
_space_group_symop_operation_xyz
'x,y,z'
loop_
_atom_site_label
_atom_site_fract_x
_atom_site_fract_y
_atom_site_fract_z
Np1 0.2463 0.0000 0.1835
Np2 0.2537 0.5000 0.8165
Np3 0.7463 0.5000 0.1835
Np4 0.7537 0.0000 0.8165
Os1 0.1066 0.0000 0.6415
Os2 0.3934 0.5000 0.3585
Os3 0.6066 0.5000 0.6415
Os4 0.8934 0.0000 0.3585
Pd1 0.0598 0.5000 0.2474
Pd2 0.4402 0.0000 0.7526
Pd3 0.5598 0.0000 0.2474
Pd4 0.9402 0.5000 0.7526
# Symmetry = No. 12
# Volume = 17.80 Å³/atom
# Spin magnetization = 6.2 μB per cell
# E_tot = -9.6046 eV/atom